(1)
ThSnHg, relaxed, DFT PBE; crystal system = cubic; total DFT energy (no corrections) = -11.96 eV per cell; symmetry = No. 216
1.0
0.0000 3.6900 3.6900
3.6900 0.0000 3.6900
3.6900 3.6900 0.0000
Hg Sn Th
1 1 1
Cartesian
1.8450 1.8450 1.8450
5.5350 5.5350 5.5350
0.0000 0.0000 0.0000

(2)
SnHgW2, relaxed, DFT PBE; crystal system = cubic; total DFT energy (no corrections) = -26.37 eV per cell; symmetry = No. 216
1.0
0.0000 3.3438 3.3438
3.3438 0.0000 3.3438
3.3438 3.3438 0.0000
Hg Sn W
1 1 2
Cartesian
1.6719 1.6719 1.6719
3.3438 3.3438 3.3438
0.0000 0.0000 0.0000
5.0158 5.0158 5.0158

(3)
SnHg2W, relaxed, DFT PBE; crystal system = cubic; total DFT energy (no corrections) = -13.65 eV per cell; symmetry = No. 216
1.0
0.0000 3.4822 3.4822
3.4822 0.0000 3.4822
3.4822 3.4822 0.0000
Hg Sn W
2 1 1
Cartesian
0.0000 0.0000 0.0000
5.2232 5.2232 5.2232
3.4822 3.4822 3.4822
1.7411 1.7411 1.7411

- The highest total DFT energy (no corrections) belongs to which entry?
  ThSnHg

- The lowest total DFT energy (no corrections) belongs to which entry?
  SnHgW2

- Which formula does entry 2 have?
  SnHgW2